1.
VASP calculation (GGA-PBE) on a geometry-optimized SmTc3Ge2 structure.

Unit cell a=4.1574 b=8.0167 c=7.6194 alpha=116.79 beta=90.00 gamma=105.03
Closest atoms and distances in Å follow each position.
Fractional coordinates of all 12 atoms:
Sm  0.8597  0.7194  0.9407  7 Ge 3.04-3.19, 2 Tc 3.23-3.38
Sm  0.1403  0.2806  0.0593  7 Ge 3.04-3.19, 2 Tc 3.23-3.38
Tc  0.2980  0.5960  0.5242  3 Tc 2.48-2.67, 2 Ge 2.62-2.63
Tc  0.9512  0.9023  0.5958  3 Ge 2.51-2.58, 3 Tc 2.55-2.67
Tc  0.5860  0.1720  0.6481  3 Ge 2.54-2.62, 6 Tc 2.56-2.84
Tc  0.4140  0.8280  0.3519  3 Ge 2.54-2.62, 6 Tc 2.56-2.84
Tc  0.0488  0.0977  0.4042  3 Ge 2.51-2.58, 3 Tc 2.55-2.67
Tc  0.7020  0.4040  0.4758  3 Tc 2.48-2.67, 2 Ge 2.62-2.63
Ge  0.4771  0.9542  0.8154  4 Tc 2.54-2.62, 1 Ge 2.56
Ge  0.5229  0.0458  0.1846  4 Tc 2.54-2.62, 1 Ge 2.56
Ge  0.7984  0.5969  0.2684  4 Tc 2.51-2.63
Ge  0.2016  0.4031  0.7316  4 Tc 2.51-2.63

- crystal system = monoclinic
- SG = No. 12
- E_form (kJ/mol of formula units) = -226

---

2.
VASP calculation (GGA-PBE) on a geometry-optimized SrZr2Rh structure.

Unit cell a=6.1833 b=6.1833 c=6.1833 alpha=146.66 beta=131.07 gamma=60.50
Closest atoms and distances in Å follow each position.
Fractional coordinates of all 4 atoms:
Rh  0.4795  0.4795  0.0000  2 Zr 2.56
Sr  0.7121  0.2121  0.5000  2 Rh 3.05, 6 Zr 3.27-3.40
Zr  0.0020  0.0020  0.0000  4 Rh 3.12, 2 Zr 3.31, 2 Sr 3.40
Zr  0.3063  0.8063  0.5000  2 Rh 2.56

- crystal system = orthorhombic
- SG = No. 44
- E_form (kJ/mol of formula units) = 18

---

3.
VASP calculation (GGA-PBE) on a geometry-optimized PuTe2Pd structure.

Unit cell a=4.2353 b=6.9330 c=14.2901 alpha=90.00 beta=90.00 gamma=90.00
Closest atoms and distances in Å follow each position.
Fractional coordinates of all 16 atoms:
Pu  0.7500  0.7317  0.6390  3 Pd 3.11-3.37, 7 Te 3.16-3.34
Pu  0.2500  0.7683  0.1390  3 Pd 3.11-3.37, 7 Te 3.16-3.34
Pu  0.2500  0.2683  0.3610  3 Pd 3.11-3.37, 7 Te 3.16-3.34
Pu  0.7500  0.2317  0.8610  3 Pd 3.11-3.37, 7 Te 3.16-3.34
Te  0.7500  0.3049  0.5300  3 Pd 2.71-2.86
Te  0.2500  0.1951  0.0300  3 Pd 2.71-2.86
Te  0.2500  0.6951  0.4700  3 Pd 2.71-2.86
Te  0.7500  0.8049  0.9700  3 Pd 2.71-2.86
Te  0.7500  0.5040  0.2427  1 Pd 2.72
Te  0.2500  0.9960  0.7427  1 Pd 2.72
Te  0.2500  0.4960  0.7573  1 Pd 2.72
Te  0.7500  0.0040  0.2573  1 Pd 2.72
Pd  0.7500  0.9323  0.4445  4 Te 2.71-2.86, 2 Pd 2.81
Pd  0.2500  0.5677  0.9445  4 Te 2.71-2.86, 2 Pd 2.81
Pd  0.2500  0.0677  0.5555  4 Te 2.71-2.86, 2 Pd 2.81
Pd  0.7500  0.4323  0.0555  4 Te 2.71-2.86, 2 Pd 2.81

- crystal system = orthorhombic
- SG = No. 62
- energy relative to the elements, uncorrected (eV per atom) = -0.750

---

| no. | total magnetization (μB per atom) | total DFT energy (no corrections) (eV per atom) |
| --- | --- | --- |
| 1 | 0.000 | -7.899 |
| 2 | 0.000 | -6.485 |
| 3 | 1.229 | -7.202 |